No. 1
Sm2DyMg3Ir2Pt: optimized geometry, PBE.

**Density**: 9.6 Mg/m³
**Energy**: -5.4716 eV/atom

Lattice parameters (Å, degrees): 4.065 12.782 7.401 90.00 90.00 90.00
Space group Amm2 (No. 38)
Asymmetric unit:
Sm 0.000 0.208 0.000 x4
Dy 0.000 0.000 0.381 x2
Mg 0.500 0.000 0.040 x2
Mg 0.500 0.123 0.669 x4
Ir 0.500 0.164 0.294 x4
Pt 0.000 0.000 0.790 x2

No. 2
HfZnMo: optimized geometry, PBE.

**Formation energy from the elements**: 3.25 eV/f.u.
**Energy relative to the lowest polymorph listed for this composition**: 258 meV/atom
**Density**: 9.0 Mg/m³

Lattice parameters (Å, degrees): 6.306 6.306 6.306 90.00 90.00 90.00
Space group F-43m (No. 216)
Asymmetric unit:
Hf 0.000 0.000 0.000 x4
Zn 0.250 0.250 0.250 x4
Mo 0.250 0.250 0.750 x4

No. 3
Dy3AsP2: optimized geometry, PBE.

**Density**: 7.4 Mg/m³
**Energy**: -6.4652 eV/atom

Lattice parameters (Å, degrees): 4.0409 4.0409 9.9089 90.00 90.00 120.00
Space group P-3m1 (No. 164)
Asymmetric unit:
Dy 0.0000 0.0000 0.0000 x1
Dy 0.3333 0.6667 0.6727 x2
As 0.0000 0.0000 0.5000 x1
P 0.3333 0.6667 0.1643 x2